No. 1
Below is an optimized crystal structure of TiHgPb2, with properties calculated at the PBE-GGA level.

Unit cell a=3.263 b=3.263 c=12.050 alpha=82.22 beta=82.22 gamma=60.00
Sites, in units of the cell vectors:
Pb 0.081 0.081 0.758
Pb 0.919 0.919 0.242
Hg 0.500 0.500 0.500
Ti 0.000 0.000 0.000

## Properties
- M_tot (μB per atom) = 0.001
- formation energy from the elements (eV/atom) = 0.414
- mass density (g cm⁻³) = 10.03
- E (eV per atom) = -3.489

=====

No. 2
Below is an optimized crystal structure of Ti6HgPb2, with properties calculated at the PBE-GGA level.

Unit cell a=2.977 b=8.091 c=8.421 alpha=118.71 beta=100.18 gamma=90.00
Last column: magnetic moment on the atom in μB.
Sites, in units of the cell vectors:
Ti 0.671 0.496 0.341  0.36
Ti 0.329 0.504 0.659  0.36
Ti 0.500 0.824 0.000  0.26
Ti 0.329 0.154 0.659  0.36
Ti 0.671 0.846 0.341  0.36
Ti 0.500 0.176 0.000  0.26
Pb 0.153 0.153 0.306  -0.02
Pb 0.847 0.847 0.694  -0.02
Hg 0.000 0.500 0.000  0.00

## Properties
- M_tot (μB per atom) = 0.267
- formation energy from the elements (eV/atom) = 0.217
- mass density (g cm⁻³) = 8.60
- E (eV per atom) = -5.904

=====

No. 3
Below is an optimized crystal structure of TiHgPb2, with properties calculated at the PBE-GGA level.

Unit cell a=8.247 b=8.247 c=6.623 alpha=51.49 beta=51.49 gamma=90.00
Last column: magnetic moment on the atom in μB.
Sites, in units of the cell vectors:
Pb 0.375 0.390 0.750  0.03
Pb 0.610 0.125 0.250  0.03
Pb 0.875 0.860 0.750  0.02
Pb 0.140 0.625 0.250  0.02
Ti 0.500 0.500 0.000  1.06
Ti 0.250 0.750 0.500  1.06
Hg 0.000 0.000 0.000  0.02
Hg 0.750 0.250 0.500  0.02

## Properties
- M_tot (μB per atom) = 0.349
- formation energy from the elements (eV/atom) = 0.407
- mass density (g cm⁻³) = 10.31
- E (eV per atom) = -3.496

=====

No. 4
Below is an optimized crystal structure of Ti2HgPb, with properties calculated at the PBE-GGA level.

Unit cell a=4.834 b=4.834 c=4.834 alpha=60.00 beta=60.00 gamma=60.00
Last column: magnetic moment on the atom in μB.
Sites, in units of the cell vectors:
Ti 0.750 0.750 0.750  0.59
Ti 0.250 0.250 0.250  0.59
Hg 0.000 0.000 0.000  0.02
Pb 0.500 0.500 0.500  0.01

## Properties
- M_tot (μB per atom) = 0.381
- energy above the most stable polymorph in this dataset (meV/atom) = 95.7
- formation energy from the elements (eV/atom) = 0.131
- mass density (g cm⁻³) = 10.47
- E (eV per atom) = -4.819

=====

No. 5
Below is an optimized crystal structure of Ti2HgPb, with properties calculated at the PBE-GGA level.

Unit cell a=3.629 b=3.629 c=6.061 alpha=90.00 beta=90.00 gamma=90.00
Sites, in units of the cell vectors:
Ti 0.000 0.000 0.256
Ti 0.000 0.000 0.744
Hg 0.500 0.500 0.000
Pb 0.500 0.500 0.500

## Properties
- M_tot (μB per atom) = 0.000
- energy above the most stable polymorph in this dataset (meV/atom) = 64.3
- formation energy from the elements (eV/atom) = 0.100
- mass density (g cm⁻³) = 10.47
- E (eV per atom) = -4.850

=====

No. 6
Below is an optimized crystal structure of Ti2HgPb, with properties calculated at the PBE-GGA level.

Unit cell a=3.203 b=3.203 c=9.588 alpha=80.35 beta=80.35 gamma=60.01
Last column: magnetic moment on the atom in μB.
Sites, in units of the cell vectors:
Pb 0.667 0.667 0.000  -0.02
Ti 0.085 0.085 0.744  0.52
Ti 0.248 0.248 0.256  0.72
Hg 0.500 0.500 0.500  0.04

## Properties
- M_tot (μB per atom) = 0.414
- energy above the most stable polymorph in this dataset (meV/atom) = 152.4
- formation energy from the elements (eV/atom) = 0.188
- mass density (g cm⁻³) = 10.00
- E (eV per atom) = -4.762

=====

No. 7
Below is an optimized crystal structure of Ti2HgPb, with properties calculated at the PBE-GGA level.

Unit cell a=4.158 b=4.359 c=4.359 alpha=90.00 beta=90.00 gamma=90.00
Sites, in units of the cell vectors:
Pb 0.500 0.500 0.500
Ti 0.000 0.000 0.500
Ti 0.000 0.500 0.000
Hg 0.500 0.000 0.000

## Properties
- M_tot (μB per atom) = 0.000
- energy above the most stable polymorph in this dataset (meV/atom) = 0.0
- formation energy from the elements (eV/atom) = 0.036
- mass density (g cm⁻³) = 10.58
- E (eV per atom) = -4.914

=====

No. 8
Below is an optimized crystal structure of Ti2VHgPb, with properties calculated at the PBE-GGA level.

Unit cell a=4.981 b=5.393 c=4.981 alpha=90.00 beta=90.00 gamma=90.00
Sites, in units of the cell vectors:
Ti 0.500 0.000 0.000
Ti 0.000 0.000 0.500
Hg 0.000 0.000 0.000
V 0.500 0.500 0.500
Pb 0.000 0.500 0.000

## Properties
- M_tot (μB per atom) = 0.000
- formation energy from the elements (eV/atom) = 1.657
- mass density (g cm⁻³) = 6.88
- E (eV per atom) = -4.127